(1)
The following is a DFT calculation (PBE) of SrCeCuPt after structural relaxation.

Structure (CIF):
```
data_SrCeCuPt
_chemical_formula_sum 'Sr4 Ce4 Cu4 Pt4'
_symmetry_space_group_name_H-M 'F -4 3 m'
_symmetry_Int_Tables_number 216
_symmetry_space_group_name_Hall 'F -4 2 3'
_cell_length_a 7.245
_cell_length_b 7.245
_cell_length_c 7.245
_cell_angle_alpha 90.00
_cell_angle_beta 90.00
_cell_angle_gamma 90.00
loop_
_atom_site_label
_atom_site_type_symbol
_atom_site_fract_x
_atom_site_fract_y
_atom_site_fract_z
_atom_site_occupancy
Sr1 Sr 0.000 0.000 0.000 1
Ce1 Ce 0.000 0.000 0.500 1
Cu1 Cu 0.250 0.250 0.750 1
Pt1 Pt 0.250 0.250 0.250 1
```

As for the magnetization: 0.2229 μB/atom. The value obtained for the energy is -4.848 eV per atom.

(2)
The following is a DFT calculation (PBE) of AcNd4 after structural relaxation.

Structure (CIF):
```
data_AcNd4
_chemical_formula_sum 'Ac2 Nd8'
_symmetry_space_group_name_H-M 'I m m m'
_symmetry_Int_Tables_number 71
_symmetry_space_group_name_Hall '-I 2 2'
_cell_length_a 3.761
_cell_length_b 5.272
_cell_length_c 18.720
_cell_angle_alpha 90.00
_cell_angle_beta 90.00
_cell_angle_gamma 90.00
loop_
_atom_site_label
_atom_site_type_symbol
_atom_site_fract_x
_atom_site_fract_y
_atom_site_fract_z
_atom_site_occupancy
Ac1 Ac 0.000 0.000 0.000 1
Nd1 Nd 0.000 0.000 0.201 1
Nd2 Nd 0.000 0.000 0.396 1
```

As for the magnetization: 0.0000 μB/atom. For the energy above the most stable polymorph in this dataset, the calculation gives 0 meV per atom.

(3)
The following is a DFT calculation (PBE) of TiAgIO2 after structural relaxation.

Structure (CIF):
```
data_TiAgIO2
_chemical_formula_sum 'Ti1 Ag1 I1 O2'
_symmetry_space_group_name_H-M 'P 4/m m m'
_symmetry_Int_Tables_number 123
_symmetry_space_group_name_Hall '-P 4 2'
_cell_length_a 3.907
_cell_length_b 3.907
_cell_length_c 5.969
_cell_angle_alpha 90.00
_cell_angle_beta 90.00
_cell_angle_gamma 90.00
loop_
_atom_site_label
_atom_site_type_symbol
_atom_site_fract_x
_atom_site_fract_y
_atom_site_fract_z
_atom_site_occupancy
Ti1 Ti 0.000 0.000 0.000 1
Ag1 Ag 0.500 0.500 0.500 1
I1 I 0.000 0.000 0.500 1
O1 O 0.000 0.500 0.000 1
```

As for the magnetization: 0.0000 μB/atom. The uncorrected formation energy comes out at -1319 meV/atom. For the energy above the most stable polymorph in this dataset, the calculation gives 0 meV per atom.